No. 1
# Ba2AgSb3Au4, relaxed, DFT PBE
# Final energy, eV per cell: -37.9
# Total magnetization, μB/f.u.: 0.000
data_Ba2AgSb3Au4
_chemical_formula_sum 'Ba2 Ag1 Sb3 Au4'
_cell_length_a 4.871
_cell_length_b 4.871
_cell_length_c 11.250
_cell_angle_alpha 90.00
_cell_angle_beta 90.00
_cell_angle_gamma 90.00
_symmetry_space_group_name_H-M 'P 1'
_symmetry_Int_Tables_number 1
loop_
_symmetry_equiv_pos_as_xyz
'x,y,z'
loop_
_atom_site_label
_atom_site_type_symbol
_atom_site_fract_x
_atom_site_fract_y
_atom_site_fract_z
Sb1 Sb 0.000 0.000 0.500
Sb2 Sb 0.000 0.500 0.130
Ba1 Ba 0.000 0.500 0.755
Ba2 Ba 0.500 0.000 0.245
Ag1 Ag 0.500 0.500 0.500
Au1 Au 0.500 0.500 0.000
Sb3 Sb 0.500 0.000 0.870
Au2 Au 0.000 0.500 0.373
Au3 Au 0.000 0.000 0.000
Au4 Au 0.500 0.000 0.627

---

No. 2
# Cs2KAlAu, relaxed, DFT PBE
# ΔH_f (0 K), kJ/mol of atoms: 1
# Final energy, eV per cell: -9.8
# Total magnetization, μB/f.u.: 0.000
data_Cs2KAlAu
_chemical_formula_sum 'Cs2 K1 Al1 Au1'
_cell_length_a 7.375
_cell_length_b 7.375
_cell_length_c 4.973
_cell_angle_alpha 90.00
_cell_angle_beta 90.00
_cell_angle_gamma 90.00
_symmetry_space_group_name_H-M 'P 1'
_symmetry_Int_Tables_number 1
loop_
_symmetry_equiv_pos_as_xyz
'x,y,z'
loop_
_atom_site_label
_atom_site_type_symbol
_atom_site_fract_x
_atom_site_fract_y
_atom_site_fract_z
Au1 Au 0.000 0.000 0.000
K1 K 0.500 0.500 0.500
Cs1 Cs 0.000 0.500 0.000
Cs2 Cs 0.500 0.000 0.000
Al1 Al 0.000 0.000 0.500

---

No. 3
# PSeS2I, relaxed, DFT PBE
# Final energy, eV per cell: -11.8
# Total magnetization, μB/f.u.: 0.402
# Energy above the most stable polymorph in this dataset, meV per atom: 518
data_PSeS2I
_chemical_formula_sum 'P1 Se1 S2 I1'
_cell_length_a 4.964
_cell_length_b 4.964
_cell_length_c 5.528
_cell_angle_alpha 90.00
_cell_angle_beta 90.00
_cell_angle_gamma 90.00
_symmetry_space_group_name_H-M 'P 1'
_symmetry_Int_Tables_number 1
loop_
_symmetry_equiv_pos_as_xyz
'x,y,z'
loop_
_atom_site_label
_atom_site_type_symbol
_atom_site_fract_x
_atom_site_fract_y
_atom_site_fract_z
Se1 Se 0.500 0.500 0.500
P1 P 0.000 0.000 0.500
S1 S 0.500 0.000 0.000
S2 S 0.000 0.500 0.000
I1 I 0.000 0.000 0.000

---

No. 4
# CsIn3I, relaxed, DFT PBE
# Final energy, eV per cell: -7.0
# Total magnetization, μB/f.u.: 0.000
data_CsIn3I
_chemical_formula_sum 'Cs1 In3 I1'
_cell_length_a 6.850
_cell_length_b 6.850
_cell_length_c 6.850
_cell_angle_alpha 90.00
_cell_angle_beta 90.00
_cell_angle_gamma 90.00
_symmetry_space_group_name_H-M 'P 1'
_symmetry_Int_Tables_number 1
loop_
_symmetry_equiv_pos_as_xyz
'x,y,z'
loop_
_atom_site_label
_atom_site_type_symbol
_atom_site_fract_x
_atom_site_fract_y
_atom_site_fract_z
Cs1 Cs 0.000 0.000 0.000
In1 In 0.500 0.000 0.000
I1 I 0.500 0.500 0.500
In2 In 0.000 0.500 0.000
In3 In 0.000 0.000 0.500

---

No. 5
# NaHF, relaxed, DFT PBE
# Final energy, eV per cell: -23.8
# Total magnetization, μB/f.u.: 0.001
# Energy above the most stable polymorph in this dataset, meV per atom: 0
data_NaHF
_chemical_formula_sum 'Na2 H2 F2'
_cell_length_a 3.239
_cell_length_b 4.576
_cell_length_c 7.406
_cell_angle_alpha 89.35
_cell_angle_beta 89.28
_cell_angle_gamma 45.08
_symmetry_space_group_name_H-M 'P 1'
_symmetry_Int_Tables_number 1
loop_
_symmetry_equiv_pos_as_xyz
'x,y,z'
loop_
_atom_site_label
_atom_site_type_symbol
_atom_site_fract_x
_atom_site_fract_y
_atom_site_fract_z
Na1 Na 0.682 0.077 0.875
F1 F 0.689 0.077 0.557
H1 H 0.697 0.378 0.178
Na2 Na 0.689 0.578 0.558
F2 F 0.681 0.578 0.876
H2 H 0.700 0.265 0.255

---

No. 6
# NdV4, relaxed, DFT PBE
# ΔH_f (0 K), kJ/mol of atoms: 204
# Final energy, eV per cell: -30.6
# Total magnetization, μB/f.u.: 4.432
data_NdV4
_chemical_formula_sum 'Nd1 V4'
_cell_length_a 4.660
_cell_length_b 4.660
_cell_length_c 4.660
_cell_angle_alpha 90.00
_cell_angle_beta 90.00
_cell_angle_gamma 90.00
_symmetry_space_group_name_H-M 'P 1'
_symmetry_Int_Tables_number 1
loop_
_symmetry_equiv_pos_as_xyz
'x,y,z'
loop_
_atom_site_label
_atom_site_type_symbol
_atom_site_fract_x
_atom_site_fract_y
_atom_site_fract_z
Nd1 Nd 0.500 0.500 0.500
V1 V 0.500 0.000 0.500
V2 V 0.000 0.500 0.500
V3 V 0.500 0.500 0.000
V4 V 0.000 0.000 0.000